No. 1
Below is a relaxed ErTm2Se4 crystal, with properties calculated at the PBE-GGA level.

Lattice parameters (Å, degrees): 8.0017 8.0017 8.0017 119.64 119.18 91.02
With the nearest neighbours (Å) after each atom.
Atoms (fractional coordinates):
1 Er 0.0000 0.0000 0.0000  6 Se 2.81-2.86
2 Er 0.5000 0.0000 0.5000  6 Se 2.81-2.86
3 Tm 0.0000 0.5000 0.5000  6 Se 2.80-2.85
4 Tm 0.5000 0.0000 0.0000  6 Se 2.83-2.86
5 Tm 0.5000 0.5000 0.0000  6 Se 2.80-2.85
6 Tm 0.5000 0.5000 0.5000  6 Se 2.83-2.86
7 Se 0.2446 0.2457 0.5011  3 Tm 2.85-2.86, 2 Er 2.86
8 Se 0.2446 0.7435 0.9989  3 Tm 2.85-2.86, 2 Er 2.86
9 Se 0.2530 0.7495 0.5035  3 Tm 2.80-2.83, 1 Er 2.81
10 Se 0.2540 0.2505 0.0035  3 Tm 2.80-2.83, 1 Er 2.81
11 Se 0.7460 0.7495 0.9965  3 Tm 2.80-2.83, 1 Er 2.81
12 Se 0.7470 0.2505 0.4965  3 Tm 2.80-2.83, 1 Er 2.81
13 Se 0.7554 0.2565 0.0011  3 Tm 2.85-2.86, 2 Er 2.86
14 Se 0.7554 0.7543 0.4989  3 Tm 2.85-2.86, 2 Er 2.86

Total magnetic moment = 0.000 μB/f.u.
Theoretical density = 7.5 g cm⁻³
V = 26.10 Å³ per atom
E_form (uncorrected) = -1.85 eV per atom

---

No. 2
Below is a relaxed TiCrBr2 crystal, with properties calculated at the PBE-GGA level.

Lattice parameters (Å, degrees): 8.6450 8.6450 8.6450 147.45 147.45 46.70
With the nearest neighbours (Å) after each atom.
Atoms (fractional coordinates):
1 Ti 0.0000 0.0000 0.0000  4 Br 2.62
2 Ti 0.7500 0.2500 0.5000  4 Br 2.62
3 Cr 0.2500 0.7500 0.5000  4 Br 2.62
4 Cr 0.5000 0.5000 0.0000  4 Br 2.62
5 Br 0.1237 0.6250 0.9987  2 Ti 2.62, 2 Cr 2.62
6 Br 0.3750 0.3737 0.4987  2 Ti 2.62, 2 Cr 2.62
7 Br 0.6263 0.1250 0.0013  2 Ti 2.62, 2 Cr 2.62
8 Br 0.8750 0.8763 0.5013  2 Ti 2.62, 2 Cr 2.62

Total magnetic moment = 2.003 μB/f.u.
Theoretical density = 4.6 g cm⁻³
V = 23.30 Å³ per atom
E_form (uncorrected) = 0.09 eV per atom

---

No. 3
Below is a relaxed MnPS2I crystal, with properties calculated at the PBE-GGA level.

Lattice parameters (Å, degrees): 5.0285 5.0285 5.1913 90.00 90.00 90.00
With the nearest neighbours (Å) after each atom.
Atoms (fractional coordinates):
1 Mn 0.0000 0.0000 0.0000  4 P 3.56, 8 S 3.61
2 P 0.5000 0.5000 0.0000  2 I 2.60
3 S 0.0000 0.5000 0.5000  2 I 2.51
4 S 0.5000 0.0000 0.5000  2 I 2.51
5 I 0.5000 0.5000 0.5000  4 S 2.51, 2 P 2.60

Total magnetic moment = 4.739 μB/f.u.
Theoretical density = 3.5 g cm⁻³
V = 26.25 Å³ per atom
E_form (uncorrected) = 1.25 eV per atom

---

Q: Which of these has the lowest theoretical density?
A: MnPS2I

---

What did the third record say?
Below is a relaxed MnPS2I crystal, with properties calculated at the PBE-GGA level.

Lattice parameters (Å, degrees): 5.0285 5.0285 5.1913 90.00 90.00 90.00
With the nearest neighbours (Å) after each atom.
Atoms (fractional coordinates):
1 Mn 0.0000 0.0000 0.0000  4 P 3.56, 8 S 3.61
2 P 0.5000 0.5000 0.0000  2 I 2.60
3 S 0.0000 0.5000 0.5000  2 I 2.51
4 S 0.5000 0.0000 0.5000  2 I 2.51
5 I 0.5000 0.5000 0.5000  4 S 2.51, 2 P 2.60

Total magnetic moment = 4.739 μB/f.u.
Theoretical density = 3.5 g cm⁻³
V = 26.25 Å³ per atom
E_form (uncorrected) = 1.25 eV per atom